[1]
Entry from Alexandria: crystalline BaSr2Ag at its relaxed geometry (PBE).

Geometry as POSCAR:
```
BaSr2Ag
1.0
11.4494 -0.0220 -0.0131
10.5703 4.3997 -0.0131
10.5703 2.1014 3.8654
Sr Ba Ag
2 1 1
direct
0.9726 0.9726 0.9726 Sr
0.5274 0.5274 0.5274 Sr
0.7500 0.7500 0.7500 Ba
0.2500 0.2500 0.2500 Ag
```

Summary:
VASP energy: -2.1248 eV per atom
Formation energy: -0.36 eV/f.u.
N(E_F): 4.11 states/eV/f.u.
SG: R-3m
Crystal system: trigonal
E above lowest polymorph: 65 meV/atom

[2]
Entry from Alexandria: crystalline Ti2CdAu at its relaxed geometry (PBE).

Geometry as POSCAR:
```
Ti2CdAu
1.0
7.5976 0.0000 0.0000
0.0000 7.5976 0.0000
3.7988 3.7988 2.7233
Au Ti Cd
2 4 2
direct
0.7500 0.2500 0.5000 Au
0.0000 0.0000 0.0000 Au
0.3750 0.3477 0.7500 Ti
0.0977 0.6250 0.2500 Ti
0.6523 0.1250 0.2500 Ti
0.8750 0.9023 0.7500 Ti
0.2500 0.7500 0.5000 Cd
0.5000 0.5000 0.0000 Cd
```

Summary:
VASP energy: -4.7800 eV per atom
Formation energy: 0.86 eV/f.u.
N(E_F): 5.76 states/eV/f.u.
SG: I-42d
Crystal system: tetragonal

[3]
Entry from Alexandria: crystalline Ta2BiN at its relaxed geometry (PBE).

Geometry as POSCAR:
```
Ta2BiN
1.0
-4.2294 -1.2942 3.0542
0.5703 -5.1591 -1.3963
1.7061 -4.0648 5.3699
N Ta Bi
2 4 2
direct
0.5000 0.5000 0.0000 N
0.2500 0.7500 0.5000 N
0.3750 0.5283 0.7500 Ta
0.4717 0.1250 0.2500 Ta
0.2783 0.6250 0.2500 Ta
0.8750 0.7217 0.7500 Ta
0.7500 0.2500 0.5000 Bi
0.0000 0.0000 0.0000 Bi
```

Summary:
VASP energy: -8.8383 eV per atom
Energy relative to the elements, uncorrected: 0.1396 eV/atom
N(E_F): 1.44 states/eV/f.u.
SG: I-42d
Crystal system: tetragonal
E above lowest polymorph: 0 meV/atom